(1)
Computed, not measured: a relaxed structure of Cs3HgSe3 at the PBE level of DFT.

Results
Uncorrected formation energy (eV/atom): -0.743
Energy (eV per atom): -2.645
Space group: R3m

Cell lengths 7.3194, 7.3194, 7.3194 Å; angles 109.45, 109.45, 109.45 degrees
Sites, in units of the cell vectors:
Cs1 0.1887 0.1887 0.6227
Cs2 0.1887 0.6227 0.1887
Cs3 0.6227 0.1887 0.1887
Hg1 0.8145 0.8145 0.8145
Se1 0.0855 0.7084 0.7084
Se2 0.7084 0.0855 0.7084
Se3 0.7084 0.7084 0.0855

***

(2)
Computed, not measured: a relaxed structure of CsHgSe at the PBE level of DFT.

Results
Uncorrected formation energy (eV/atom): -0.687
Energy (eV per atom): -2.234
Space group: Cm

Cell lengths 7.8028, 7.8028, 10.1871 Å; angles 130.71, 130.71, 33.32 degrees
Sites, in units of the cell vectors:
Cs1 0.0000 0.0000 0.0000
Cs2 0.0010 0.0010 0.5488
Hg1 0.6791 0.6791 0.4528
Hg2 0.7355 0.7355 0.0106
Se1 0.3173 0.3173 0.5914
Se2 0.4432 0.4432 0.2172

***

(3)
Computed, not measured: a relaxed structure of Cs2HgSe at the PBE level of DFT.

Results
Uncorrected formation energy (eV/atom): -0.774
Energy (eV per atom): -2.147
Space group: Fm-3m

Cell lengths 6.1809, 6.1809, 6.1809 Å; angles 60.00, 60.00, 60.00 degrees
Sites, in units of the cell vectors:
Cs1 0.2500 0.2500 0.2500
Cs2 0.7500 0.7500 0.7500
Hg1 0.0000 0.0000 0.0000
Se1 0.5000 0.5000 0.5000